No. 1
The following is a GGA+U calculation of a relaxed structure of Fe2O3F, from Alexandria via LeMat-Bulk.

Cell lengths 5.5703, 5.5703, 7.0703 Å; angles 73.32, 73.32, 76.26 degrees
Each line ends with the local moment (μB).
Fractional coordinates of all 18 atoms:
O  0.3249  0.6751  0.0000  0.13
O  0.2352  0.2267  0.9641  0.05
Fe  0.0167  0.9833  0.5000  4.31
O  0.3577  0.9902  0.3266  0.19
Fe  0.3051  0.3595  0.6689  4.20
O  0.9042  0.8905  0.2935  0.08
O  0.5540  0.5765  0.6280  0.06
Fe  0.0355  0.9645  0.0000  4.19
F  0.6415  0.0367  0.6621  0.13
O  0.0098  0.6423  0.6734  0.19
Fe  0.6405  0.6949  0.3311  4.20
O  0.1095  0.0958  0.7065  0.08
O  0.4235  0.4460  0.3720  0.06
F  0.7036  0.2964  0.0000  0.15
Fe  0.6673  0.6657  0.8324  4.20
F  0.9633  0.3585  0.3379  0.13
O  0.7733  0.7648  0.0359  0.05
Fe  0.3343  0.3327  0.1676  4.20

Calculated values
Its excess energy over the best structure of this formula in the dataset is 4.8 meV/atom.

---

No. 2
The following is a GGA+U calculation of a relaxed structure of FeOF, from Alexandria via LeMat-Bulk.

Cell lengths 3.0917, 4.7229, 9.3925 Å; angles 89.72, 90.00, 90.00 degrees
Each line ends with the local moment (μB).
Fractional coordinates of all 12 atoms:
Fe  0.0000  0.0205  0.5119  4.29
Fe  0.5000  0.4475  0.2608  -4.31
O  0.0000  0.7061  0.6479  -0.15
F  0.0000  0.3120  0.8502  0.00
Fe  0.5000  0.5140  0.7202  -4.28
O  0.5000  0.1979  0.0964  0.17
O  0.5000  0.1960  0.6009  0.07
O  0.0000  0.2873  0.3501  -0.18
F  0.5000  0.8077  0.9049  0.06
F  0.0000  0.6919  0.1502  0.00
Fe  0.0000  0.0245  0.0115  4.36
F  0.5000  0.7946  0.3949  0.02

Calculated values
For the total energy, the calculation gives -6.07 eV/atom.

---

No. 3
The following is a GGA+U calculation of a relaxed structure of Fe4O5F3, from Alexandria via LeMat-Bulk.

Cell lengths 6.1177, 4.6989, 9.3766 Å; angles 87.47, 90.00, 90.00 degrees
Each line ends with the local moment (μB).
Fractional coordinates of all 24 atoms:
O  0.7460  0.3098  0.3471  0.29
F  0.7534  0.6944  0.6493  0.11
Fe  0.4983  0.5244  0.7714  4.35
Fe  0.2498  0.0003  0.5015  4.13
F  0.0034  0.7952  0.8970  0.14
O  0.0032  0.1744  0.5903  0.21
F  0.2466  0.6944  0.1493  0.11
Fe  0.5017  0.5244  0.2714  4.35
F  0.4910  0.2061  0.1026  0.14
Fe  0.7502  0.0003  0.0015  4.13
O  0.2537  0.7007  0.6520  0.13
F  0.5090  0.2061  0.6026  0.14
O  0.5072  0.8211  0.9117  0.20
O  0.2540  0.3098  0.8471  0.29
O  0.2459  0.3026  0.3483  0.20
O  0.4928  0.8211  0.4117  0.20
F  0.9966  0.7952  0.3970  0.14
Fe  0.0105  0.4573  0.7378  4.35
O  0.7541  0.3026  0.8483  0.20
O  0.9968  0.1744  0.0903  0.21
Fe  0.2501  0.0138  0.9911  4.39
Fe  0.7499  0.0138  0.4911  4.39
Fe  0.9895  0.4573  0.2378  4.35
O  0.7463  0.7007  0.1520  0.13

Calculated values
Its excess energy over the best structure of this formula in the dataset is 4.9 meV/atom.

---

No. 4
The following is a GGA+U calculation of a relaxed structure of Fe4O3F5, from Alexandria via LeMat-Bulk.

Cell lengths 4.7919, 6.2007, 10.0806 Å; angles 71.79, 90.00, 90.00 degrees
Each line ends with the local moment (μB).
Fractional coordinates of all 24 atoms:
F  0.8075  0.6345  0.9813  -0.04
O  0.8273  0.1470  0.9631  0.07
O  0.3273  0.8530  0.0369  0.07
Fe  0.4455  0.8054  0.6348  -4.31
F  0.7743  0.8995  0.4769  -0.07
Fe  0.9455  0.1946  0.3652  -4.31
O  0.3024  0.6215  0.5411  -0.17
Fe  0.0417  0.9298  0.8908  4.33
F  0.2028  0.4756  0.2706  -0.08
F  0.1871  0.0040  0.2728  0.00
F  0.2743  0.1005  0.5231  -0.07
O  0.1830  0.7327  0.7930  -0.08
F  0.6871  0.9960  0.7272  0.00
Fe  0.9999  0.4379  0.8690  -4.36
F  0.2106  0.2362  0.7764  0.01
O  0.8024  0.3785  0.4589  -0.17
F  0.7106  0.7638  0.2236  0.01
Fe  0.5179  0.3269  0.6013  3.72
Fe  0.0179  0.6731  0.3987  3.72
O  0.6830  0.2673  0.2070  -0.08
F  0.7028  0.5244  0.7294  -0.08
Fe  0.5417  0.0702  0.1092  4.33
Fe  0.4999  0.5621  0.1310  -4.36
F  0.3075  0.3655  0.0187  -0.04

Calculated values
Its excess energy over the best structure of this formula in the dataset is 1.2 meV/atom.

---

No. 5
The following is a GGA+U calculation of a relaxed structure of Fe4O5F3, from Alexandria via LeMat-Bulk.

Cell lengths 4.6266, 5.5277, 10.2629 Å; angles 83.79, 90.00, 90.00 degrees
Each line ends with the local moment (μB).
Fractional coordinates of all 24 atoms:
Fe  0.7799  0.5085  0.4874  4.34
O  0.0250  0.5246  0.8204  0.14
O  0.0806  0.0095  0.3345  -0.12
O  0.9476  0.2656  0.0689  0.17
F  0.4566  0.4818  0.1726  0.05
F  0.9310  0.7725  0.5859  0.07
Fe  0.7339  0.9965  0.0038  3.16
O  0.5613  0.9772  0.1797  -0.03
F  0.5434  0.4818  0.6726  0.05
O  0.0524  0.2656  0.5689  0.17
Fe  0.2201  0.5085  0.9874  4.34
Fe  0.7228  0.7574  0.7613  2.78
Fe  0.8045  0.2375  0.2429  4.28
O  0.9750  0.5246  0.3204  0.14
O  0.4577  0.7315  0.4280  -0.12
F  0.5709  0.2373  0.4147  0.11
O  0.5423  0.7315  0.9280  -0.12
Fe  0.2661  0.9965  0.5038  3.16
F  0.0690  0.7725  0.0859  0.07
O  0.9194  0.0095  0.8345  -0.12
O  0.4387  0.9772  0.6797  -0.03
Fe  0.2772  0.7574  0.2613  2.78
Fe  0.1955  0.2375  0.7429  4.28
F  0.4291  0.2373  0.9147  0.11

Calculated values
Its excess energy over the best structure of this formula in the dataset is 131.8 meV/atom.

---

No. 6
The following is a GGA+U calculation of a relaxed structure of Fe4OF7, from Alexandria via LeMat-Bulk.

Cell lengths 4.7891, 5.8041, 10.8813 Å; angles 81.89, 90.00, 90.00 degrees
Each line ends with the local moment (μB).
Fractional coordinates of all 24 atoms:
F  0.0543  0.7216  0.9218  0.06
F  0.9653  0.4784  0.1733  0.09
F  0.5575  0.2818  0.5918  0.07
F  0.4425  0.2818  0.0918  0.07
F  0.5501  0.7776  0.0708  0.05
Fe  0.7493  0.7498  0.2465  3.82
F  0.5390  0.0216  0.3201  0.09
Fe  0.2434  0.4873  0.4986  3.85
Fe  0.7566  0.4873  0.9986  3.85
F  0.4610  0.0216  0.8201  0.09
F  0.9480  0.9888  0.6824  0.09
Fe  0.2507  0.7498  0.7465  3.82
Fe  0.7699  0.2438  0.7646  4.39
Fe  0.2414  0.0120  0.9965  3.79
F  0.5447  0.5117  0.8167  0.09
O  0.0570  0.2256  0.4170  0.29
F  0.0347  0.4784  0.6733  0.09
Fe  0.7586  0.0120  0.4965  3.79
F  0.4499  0.7776  0.5708  0.05
Fe  0.2301  0.2438  0.2646  4.39
F  0.9457  0.7216  0.4218  0.06
O  0.9430  0.2256  0.9170  0.29
F  0.4553  0.5117  0.3167  0.09
F  0.0520  0.9888  0.1824  0.09

Calculated values
Its excess energy over the best structure of this formula in the dataset is 1.5 meV/atom.

---

No. 7
The following is a GGA+U calculation of a relaxed structure of Fe3O5F, from Alexandria via LeMat-Bulk.

Cell lengths 4.5938, 5.4714, 7.5781 Å; angles 85.56, 90.00, 90.00 degrees
Each line ends with the local moment (μB).
Fractional coordinates of all 18 atoms:
O  0.8035  0.1232  0.9333  -0.12
Fe  0.5057  0.9119  0.8386  2.84
O  0.1838  0.3731  0.0581  -0.10
F  0.3056  0.2104  0.7320  0.06
Fe  0.0057  0.0881  0.1614  2.84
O  0.1939  0.0478  0.3936  -0.05
O  0.3115  0.5454  0.3952  0.04
O  0.6939  0.9522  0.6064  -0.05
O  0.7025  0.2893  0.2590  0.00
Fe  0.5164  0.2452  0.4888  4.19
O  0.6838  0.6269  0.9419  -0.10
O  0.3035  0.8768  0.0667  -0.12
O  0.8115  0.4546  0.6048  0.04
Fe  0.9772  0.4257  0.8364  4.08
O  0.2025  0.7107  0.7410  0.00
Fe  0.4772  0.5743  0.1636  4.08
Fe  0.0164  0.7548  0.5112  4.19
F  0.8056  0.7896  0.2680  0.06

Calculated values
Its excess energy over the best structure of this formula in the dataset is 84.2 meV/atom.

---

No. 8
The following is a GGA+U calculation of a relaxed structure of FeOF, from Alexandria via LeMat-Bulk.

Cell lengths 4.7902, 4.7725, 9.1711 Å; angles 89.94, 90.00, 90.00 degrees
Each line ends with the local moment (μB).
Fractional coordinates of all 18 atoms:
O  0.3134  0.9323  0.2538  0.36
O  0.3216  0.9414  0.9133  0.35
F  0.1940  0.4562  0.7517  0.12
O  0.8134  0.0677  0.7462  0.36
Fe  0.5275  0.7810  0.7492  4.42
Fe  0.9593  0.2879  0.5833  4.41
F  0.6940  0.5438  0.2483  0.12
F  0.7120  0.5576  0.9187  0.12
F  0.2120  0.4424  0.0813  0.12
O  0.1706  0.4315  0.4169  0.34
Fe  0.4593  0.7121  0.4167  4.41
F  0.2907  0.9536  0.5829  0.13
F  0.7907  0.0464  0.4171  0.13
Fe  0.0109  0.2025  0.9159  4.40
O  0.6706  0.5685  0.5831  0.34
Fe  0.5109  0.7975  0.0841  4.40
O  0.8216  0.0586  0.0867  0.35
Fe  0.0275  0.2190  0.2508  4.42

Calculated values
For the total energy, the calculation gives -6.01 eV/atom.

---

No. 9
The following is a GGA+U calculation of a relaxed structure of Fe6O5F7, from Alexandria via LeMat-Bulk.

Cell lengths 5.6432, 5.6432, 7.3036 Å; angles 72.95, 72.95, 72.92 degrees
Each line ends with the local moment (μB).
Fractional coordinates of all 18 atoms:
F  0.0212  0.6490  0.6723  0.06
F  0.6490  0.0212  0.6723  0.06
Fe  0.6680  0.6680  0.8389  1.13
F  0.4240  0.4240  0.3786  0.11
Fe  0.0190  0.0190  0.4841  4.37
F  0.6868  0.3192  0.9989  0.04
O  0.5726  0.5726  0.6359  0.26
Fe  0.6632  0.6632  0.3233  4.41
Fe  0.9951  0.9951  0.9944  3.83
O  0.7586  0.7586  0.0339  0.17
O  0.9622  0.3610  0.3314  0.38
F  0.3192  0.6868  0.9989  0.04
Fe  0.3534  0.3534  0.6878  4.34
O  0.2331  0.2331  0.9552  0.34
O  0.3610  0.9622  0.3314  0.38
Fe  0.3066  0.3066  0.1660  4.36
F  0.1167  0.1167  0.6854  0.11
F  0.8903  0.8903  0.3113  0.11

Calculated values
Its excess energy over the best structure of this formula in the dataset is 137.8 meV/atom.

---

No. 10
The following is a GGA+U calculation of a relaxed structure of Fe5O2F8, from Alexandria via LeMat-Bulk.

Cell lengths 4.7708, 5.7165, 13.4572 Å; angles 78.29, 89.31, 89.61 degrees
Each line ends with the local moment (μB).
Fractional coordinates of all 30 atoms:
O  0.3188  0.3955  0.1372  -0.04
O  0.7943  0.4921  0.6611  -0.17
Fe  0.4903  0.1079  0.2027  -1.16
Fe  0.5019  0.3193  0.6034  -1.99
F  0.3084  0.6403  0.5279  -0.07
F  0.2134  0.5197  0.3391  -0.06
F  0.2228  0.9160  0.1421  -0.02
F  0.6831  0.9929  0.6597  -0.03
F  0.1933  0.1247  0.5420  0.02
F  0.2011  0.3188  0.9389  -0.09
O  0.3174  0.0160  0.3324  -0.13
F  0.6986  0.1704  0.0673  -0.05
F  0.1858  0.7134  0.7457  -0.08
Fe  0.9839  0.7989  0.6017  -1.98
Fe  0.0317  0.5793  0.1956  -1.96
O  0.6975  0.5601  0.8749  -0.30
F  0.2775  0.2179  0.7483  -0.07
Fe  0.9451  0.4122  0.7914  -4.34
Fe  0.4949  0.7267  0.3924  -4.37
F  0.8008  0.6728  0.0639  -0.07
Fe  0.0217  0.1957  0.3966  1.86
F  0.7987  0.0820  0.8606  -0.08
Fe  0.5021  0.4885  0.0017  -4.39
F  0.7067  0.7860  0.2566  -0.04
Fe  0.0042  0.9993  0.0020  -3.82
F  0.8000  0.8884  0.4545  -0.07
F  0.6987  0.4135  0.4463  -0.05
F  0.3053  0.8027  0.9525  -0.09
Fe  0.5050  0.8789  0.8033  -3.82
F  0.7970  0.2703  0.2580  0.00

Calculated values
Its excess energy over the best structure of this formula in the dataset is 265.1 meV/atom.

---

No. 11
The following is a GGA+U calculation of a relaxed structure of Fe5O2F8, from Alexandria via LeMat-Bulk.

Cell lengths 4.7766, 7.9759, 10.8598 Å; angles 63.28, 90.00, 90.00 degrees
Each line ends with the local moment (μB).
Fractional coordinates of all 30 atoms:
Fe  0.5313  0.8008  0.7837  4.41
F  0.7735  0.0048  0.3146  0.11
F  0.6965  0.6109  0.4143  0.09
O  0.2993  0.1759  0.3773  0.27
F  0.1702  0.7724  0.4585  0.08
F  0.7016  0.4033  0.2222  0.10
O  0.7993  0.8241  0.1227  0.27
F  0.8035  0.6109  0.9143  0.09
F  0.1965  0.3891  0.0857  0.09
F  0.2016  0.5967  0.2778  0.10
F  0.3298  0.7724  0.9585  0.08
F  0.7984  0.4033  0.7222  0.10
Fe  0.9687  0.8008  0.2837  4.41
O  0.2007  0.1759  0.8773  0.27
F  0.7265  0.0048  0.8146  0.11
Fe  0.4687  0.1992  0.2163  4.41
Fe  0.0313  0.1992  0.7163  4.41
O  0.7007  0.8241  0.6227  0.27
F  0.3035  0.3891  0.5857  0.09
Fe  0.5000  0.0000  0.0000  3.81
F  0.2735  0.9952  0.1854  0.11
Fe  0.4884  0.3786  0.4089  3.82
Fe  0.0116  0.3786  0.9089  3.82
F  0.2984  0.5967  0.7778  0.10
F  0.6702  0.2276  0.0415  0.08
Fe  0.0000  0.0000  0.5000  3.81
Fe  0.5116  0.6214  0.5911  3.82
F  0.8298  0.2276  0.5415  0.08
Fe  0.9884  0.6214  0.0911  3.82
F  0.2265  0.9952  0.6854  0.11

Calculated values
Its excess energy over the best structure of this formula in the dataset is 7.3 meV/atom.

---

No. 12
The following is a GGA+U calculation of a relaxed structure of Fe3O2F2, from Alexandria via LeMat-Bulk.

Cell lengths 5.3224, 5.7596, 6.2348 Å; angles 63.27, 90.00, 90.00 degrees
Each line ends with the local moment (μB).
Fractional coordinates of all 14 atoms:
F  0.6597  0.4096  0.3827  0.06
Fe  0.0102  0.2905  0.2566  3.79
O  0.3119  0.1303  0.0941  0.14
Fe  0.5000  0.5000  0.0000  3.77
O  0.6881  0.8697  0.9059  0.14
Fe  0.4898  0.7905  0.2566  3.79
F  0.3403  0.5904  0.6173  0.06
Fe  0.5102  0.2095  0.7434  3.79
F  0.8403  0.9096  0.3827  0.06
O  0.1881  0.6303  0.0941  0.14
O  0.8119  0.3697  0.9059  0.14
Fe  0.0000  0.0000  0.0000  3.77
F  0.1597  0.0904  0.6173  0.06
Fe  0.9898  0.7095  0.7434  3.79

Calculated values
Its excess energy over the best structure of this formula in the dataset is 23.3 meV/atom.

---

No. 13
The following is a GGA+U calculation of a relaxed structure of FeOF, from Alexandria via LeMat-Bulk.

Cell lengths 5.5841, 5.5841, 5.5841 Å; angles 55.69, 55.69, 55.69 degrees
Each line ends with the local moment (μB).
Fractional coordinates of all 9 atoms:
O  0.2480  0.5900  0.9358  0.36
O  0.9358  0.2480  0.5900  0.36
F  0.0618  0.6880  0.4983  0.12
F  0.6880  0.4983  0.0618  0.12
Fe  0.3264  0.3264  0.3264  4.41
Fe  0.6420  0.6420  0.6420  4.38
O  0.5900  0.9358  0.2480  0.36
F  0.4983  0.0618  0.6880  0.12
Fe  0.8608  0.8608  0.8608  4.43

Calculated values
For the total energy, the calculation gives -5.99 eV/atom.

---

No. 14
The following is a GGA+U calculation of a relaxed structure of FeOF, from Alexandria via LeMat-Bulk.

Cell lengths 3.1037, 4.7603, 4.7116 Å; angles 90.00, 90.00, 90.00 degrees
Each line ends with the local moment (μB).
Fractional coordinates of all 6 atoms:
F  0.5000  0.1987  0.8027  0.11
Fe  0.0000  0.9945  0.0392  4.41
F  0.0000  0.6987  0.6973  0.11
O  0.0000  0.3068  0.3059  0.37
O  0.5000  0.8068  0.1941  0.37
Fe  0.5000  0.4945  0.4608  4.41

Calculated values
For the total energy, the calculation gives -6.02 eV/atom.

---

No. 15
The following is a GGA+U calculation of a relaxed structure of Fe4O5F3, from Alexandria via LeMat-Bulk.

Cell lengths 4.6681, 7.6896, 7.6313 Å; angles 104.91, 92.17, 92.81 degrees
Each line ends with the local moment (μB).
Fractional coordinates of all 24 atoms:
O  0.3193  0.9112  0.4124  0.00
F  0.1757  0.2915  0.5377  0.05
O  0.7087  0.0975  0.5984  -0.12
F  0.2305  0.0147  0.7742  0.08
Fe  0.5230  0.3402  0.1029  4.29
Fe  0.4533  0.6352  0.8742  4.32
O  0.3019  0.3989  0.9027  0.10
F  0.8020  0.9689  0.2211  0.14
O  0.6861  0.3478  0.3457  0.10
Fe  0.0222  0.7636  0.2621  4.34
O  0.1827  0.7811  0.0324  0.20
O  0.7026  0.8432  0.8429  0.01
F  0.1801  0.5305  0.2760  0.12
Fe  0.9690  0.5158  0.5035  4.33
F  0.6943  0.5958  0.0997  0.10
O  0.3022  0.1428  0.1546  0.04
Fe  0.4983  0.1313  0.3845  3.15
Fe  0.5290  0.8711  0.6173  2.74
Fe  0.0083  0.9903  0.9926  4.12
O  0.8257  0.2057  0.9659  0.00
F  0.7887  0.4845  0.7278  0.11
O  0.7989  0.7318  0.4709  0.06
Fe  0.9944  0.2482  0.7579  3.17
O  0.3030  0.6585  0.6426  0.10

Calculated values
Its excess energy over the best structure of this formula in the dataset is 92.3 meV/atom.